No. 1
First-principles (PBE-GGA) data for a geometry-optimized GdPdF3 structure, as listed in OQMD.

a = 6.5196 Å, b = 6.5196 Å, c = 4.9967 Å
α = 90.00°, β = 90.00°, γ = 144.14°
Last column: nearest neighbours and their distance in Å.
Fractional coordinates of all 10 atoms:
Gd 0.1602 0.8398 0.7500  6 F 2.27-2.36
Gd 0.8398 0.1602 0.2500  6 F 2.27-2.36
Pd 0.4959 0.5041 0.7500  2 F 2.32, 2 Pd 2.50
Pd 0.5041 0.4959 0.2500  2 F 2.32, 2 Pd 2.50
F 0.0985 0.9015 0.2500  2 Pd 2.32
F 0.3101 0.6899 0.0121  3 Gd 2.27-2.36, 3 F 2.38-2.50
F 0.3101 0.6899 0.4879  3 Gd 2.27-2.36, 3 F 2.38-2.50
F 0.6899 0.3101 0.5121  3 Gd 2.27-2.36, 3 F 2.38-2.50
F 0.6899 0.3101 0.9879  3 Gd 2.27-2.36, 3 F 2.38-2.50
F 0.9015 0.0985 0.7500  2 Pd 2.32

Properties
* crystal system: orthorhombic
* space group: No. 63



No. 2
First-principles (PBE-GGA) data for a geometry-optimized GdPtF7 structure, as listed in OQMD.

a = 8.5788 Å, b = 5.2344 Å, c = 11.7697 Å
α = 90.00°, β = 117.66°, γ = 90.00°
Last column: nearest neighbours and their distance in Å.
Fractional coordinates of all 36 atoms:
Gd 0.1876 0.2289 0.2583  8 F 2.18-2.39
Gd 0.1876 0.2711 0.7583  8 F 2.18-2.39
Gd 0.8124 0.7289 0.2417  8 F 2.18-2.39
Gd 0.8124 0.7711 0.7417  8 F 2.18-2.39
Pt 0.2732 0.7393 0.0396  6 F 1.94-1.96
Pt 0.2732 0.7607 0.5396  6 F 1.94-1.96
Pt 0.7268 0.2393 0.4604  6 F 1.94-1.96
Pt 0.7268 0.2607 0.9604  6 F 1.94-1.96
F 0.0168 0.7283 0.4591  1 Pt 1.96
F 0.0168 0.7717 0.9591  1 Pt 1.96
F 0.0399 0.6261 0.7261  2 Gd 2.18
F 0.0399 0.8739 0.2261  2 Gd 2.18
F 0.2333 0.0914 0.4545  1 Pt 1.95
F 0.2333 0.4086 0.9545  1 Pt 1.95
F 0.2686 0.5703 0.1848  1 Pt 1.94
F 0.2686 0.9297 0.6848  1 Pt 1.94
F 0.2977 0.5816 0.4033  1 Pt 1.95
F 0.2977 0.9184 0.9033  1 Pt 1.95
F 0.3175 0.0571 0.1377  1 Pt 1.96
F 0.3175 0.4429 0.6377  1 Pt 1.96
F 0.4759 0.1671 0.3833  1 Pt 1.95
F 0.4759 0.3329 0.8833  1 Pt 1.95
F 0.5241 0.6671 0.1167  1 Pt 1.95
F 0.5241 0.8329 0.6167  1 Pt 1.95
F 0.6825 0.5571 0.3623  1 Pt 1.96
F 0.6825 0.9429 0.8623  1 Pt 1.96
F 0.7024 0.0816 0.0967  1 Pt 1.95
F 0.7024 0.4184 0.5967  1 Pt 1.95
F 0.7314 0.0703 0.3152  1 Pt 1.94
F 0.7314 0.4297 0.8152  1 Pt 1.94
F 0.7667 0.5914 0.0455  1 Pt 1.95
F 0.7667 0.9086 0.5455  1 Pt 1.95
F 0.9601 0.1261 0.7739  2 Gd 2.18
F 0.9601 0.3739 0.2739  2 Gd 2.18
F 0.9832 0.2283 0.0409  1 Pt 1.96
F 0.9832 0.2717 0.5409  1 Pt 1.96

Properties
* crystal system: monoclinic
* space group: No. 14



| no. | total energy (eV per cell) | total moment (μB/f.u.) |
| --- | --- | --- |
| 1 | -56.44 | 0.02 |
| 2 | -186.79 | 0.00 |